Computed, not measured: an optimized crystal structure of CoGeN2O at the PBE+U level of DFT.

```
CoGeN2O
1.0
-0.326 3.611 0.281
-2.884 -0.087 -2.214
-2.461 -0.473 3.224
Ge Co O N
1 1 1 2
Direct
0.500 0.500 0.500
0.000 0.000 0.000
0.000 0.000 0.500
0.000 0.500 0.000
0.500 0.000 0.000
```

Values from the calculation:
Symmetry = P4/mmm (123)
Total DFT energy (no corrections) = -26.75 eV/f.u.
Spin magnetization = 3.31 μB per formula unit